[1]
LaTcTe2 (PBE, relaxed); formation energy from raw total energies = -758 meV/atom; offset from the most stable computed form = 0.143 eV per formula unit
1.0
7.704 0.000 0.000
0.000 4.229 0.000
-1.944 0.000 14.816
Te Tc La
8 4 4
direct
0.154 0.500 0.045
0.727 0.500 0.224
0.154 0.000 0.545
0.238 0.500 0.329
0.729 0.500 0.506
0.727 0.000 0.724
0.729 0.000 0.006
0.238 0.000 0.829
0.364 0.000 0.012
0.516 0.500 0.058
0.516 0.000 0.558
0.364 0.500 0.512
0.034 0.500 0.688
0.034 0.000 0.188
0.558 0.500 0.855
0.558 0.000 0.355

***

[2]
NbReB2Ir (PBE, relaxed); energy of formation = 1.32 eV/atom
1.0
3.975 0.000 0.000
0.000 5.247 0.000
0.000 0.000 3.975
B Nb Ir Re
2 1 1 1
direct
0.000 0.000 0.500
0.500 0.000 0.000
0.000 0.500 0.000
0.000 0.000 0.000
0.500 0.500 0.500

***

[3]
NdGeTe2 (PBE, relaxed); formation energy from raw total energies = -466 meV/atom
1.0
-2.475 -1.525 3.298
-4.046 -1.517 -0.807
1.343 -9.668 -0.533
Te Nd Ge
2 1 1
direct
0.101 0.101 0.698
0.899 0.899 0.302
0.500 0.500 0.500
0.000 0.000 0.000

***

[4]
Ho3Er3Sc (PBE, relaxed); offset from the most stable computed form = 0.000 eV per formula unit; energy of formation = 0.01 eV/atom
1.0
-4.925 2.495 0.319
-0.705 -2.546 9.013
4.002 8.189 -2.270
Sc Ho Er
2 6 6
direct
0.750 0.333 0.667
0.250 0.667 0.333
0.750 0.758 0.809
0.750 0.051 0.242
0.250 0.242 0.191
0.250 0.949 0.758
0.250 0.809 0.051
0.750 0.191 0.949
0.250 0.096 0.478
0.750 0.618 0.097
0.250 0.522 0.618
0.750 0.478 0.382
0.750 0.904 0.522
0.250 0.382 0.903

***

[5]
Ga2SnPtPb (PBE, relaxed); energy of formation = 0.87 eV/atom
1.0
5.214 0.000 0.000
0.000 6.028 0.000
0.000 0.000 5.214
Pb Ga Sn Pt
1 2 1 1
direct
0.000 0.500 0.000
0.000 0.000 0.500
0.500 0.000 0.000
0.000 0.000 0.000
0.500 0.500 0.500

***

[6]
K6Cl2OF (PBE, relaxed); formation energy from raw total energies = -1539 meV/atom
1.0
6.997 0.000 0.000
0.000 7.477 0.000
0.000 -3.739 6.476
F Cl K O
1 2 6 1
direct
0.500 0.000 0.000
0.088 0.333 0.667
0.912 0.667 0.333
0.774 0.154 0.846
0.774 0.692 0.846
0.226 0.846 0.154
0.226 0.846 0.692
0.226 0.308 0.154
0.774 0.154 0.308
0.000 0.000 0.000

***

Uncorrected energy across the listed records, respectively: -6.1525, -7.6275, -4.3829, -4.8073, -3.0890, -3.2495 eV/atom.